Entry from OQMD: TmZn after structural relaxation (GGA-PBE).

Output
Final energy, eV per atom: -3.07
Theoretical density, g/cm3: 8.98
Energy of formation from the pure elements, eV/atom: -0.20
Magnetization, μB per formula unit: 0.01
Space-group type: No. 59

Cell: 5.7459 12.2897 4.9105 Å, 90.00 90.00 90.00°
Positions (direct):
Tm (0.0531, 0.2044, 0.0000)
Tm (0.5358, 0.3750, 0.0000)
Tm (0.0531, 0.5456, 0.0000)
Tm (0.3799, 0.8750, 0.0000)
Tm (0.2803, 0.0454, 0.5000)
Tm (0.9535, 0.3750, 0.5000)
Tm (0.2803, 0.7046, 0.5000)
Tm (0.7974, 0.8750, 0.5000)
Zn (0.5393, 0.1174, 0.0000)
Zn (0.5393, 0.6326, 0.0000)
Zn (0.9081, 0.7663, 0.0000)
Zn (0.9081, 0.9837, 0.0000)
Zn (0.7940, 0.1326, 0.5000)
Zn (0.4252, 0.2663, 0.5000)
Zn (0.4252, 0.4837, 0.5000)
Zn (0.7940, 0.6174, 0.5000)


Entry from OQMD: YScNiB after structural relaxation (GGA-PBE).

Output
Final energy, eV per atom: -5.88
Theoretical density, g/cm3: 5.55
Magnetization, μB per formula unit: 0.00
Space-group type: No. 216

Cell: 4.4147 4.4147 4.4147 Å, 60.00 60.00 60.00°
Positions (direct):
B (0.0000, 0.0000, 0.0000)
Ni (0.7500, 0.7500, 0.7500)
Sc (0.2500, 0.2500, 0.2500)
Y (0.5000, 0.5000, 0.5000)


Entry from OQMD: YZnCoB after structural relaxation (GGA-PBE).

Output
Final energy, eV per atom: -5.14
Theoretical density, g/cm3: 6.56
Magnetization, μB per formula unit: 0.06
Space-group type: No. 216

Cell: 4.3131 4.3131 4.3131 Å, 60.00 60.00 60.00°
Positions (direct):
B (0.0000, 0.0000, 0.0000)
Co (0.7500, 0.7500, 0.7500)
Y (0.2500, 0.2500, 0.2500)
Zn (0.5000, 0.5000, 0.5000)


Q: The lowest magnetization belongs to which entry?
A: YScNiB